[1]
DFT (PBE) results for a relaxed Pm4DyHoEr2 crystal.

Structure (CIF):
```
data_Pm4DyHoEr2
_symmetry_space_group_name_H-M 'P 1'
_symmetry_Int_Tables_number 1
_cell_length_a 5.100
_cell_length_b 5.080
_cell_length_c 11.253
_cell_angle_alpha 63.14
_cell_angle_beta 90.00
_cell_angle_gamma 90.00
loop_
_symmetry_equiv_pos_as_xyz
'x,y,z'
loop_
_atom_site_label
_atom_site_type_symbol
_atom_site_fract_x
_atom_site_fract_y
_atom_site_fract_z
Er1 Er 0.000 0.000 0.000
Pm1 Pm 0.000 0.750 0.750
Ho1 Ho 0.000 0.500 0.500
Pm2 Pm 0.000 0.250 0.250
Pm3 Pm 0.500 0.749 0.250
Er2 Er 0.500 0.000 0.500
Pm4 Pm 0.500 0.251 0.750
Dy1 Dy 0.500 0.500 0.000
```

- E_form: 17 meV/atom
- Raw total energy: -4.646 eV per atom
- M_tot: 0.0000 μB per atom

***

[2]
DFT (PBE) results for a relaxed Cd2SiNiP crystal.

Structure (CIF):
```
data_Cd2SiNiP
_symmetry_space_group_name_H-M 'P 1'
_symmetry_Int_Tables_number 1
_cell_length_a 5.035
_cell_length_b 4.284
_cell_length_c 5.035
_cell_angle_alpha 90.00
_cell_angle_beta 90.00
_cell_angle_gamma 90.00
loop_
_symmetry_equiv_pos_as_xyz
'x,y,z'
loop_
_atom_site_label
_atom_site_type_symbol
_atom_site_fract_x
_atom_site_fract_y
_atom_site_fract_z
Si1 Si 0.000 0.000 0.000
Cd1 Cd 0.500 0.000 0.000
P1 P 0.500 0.500 0.500
Ni1 Ni 0.000 0.500 0.000
Cd2 Cd 0.000 0.000 0.500
```

- Raw total energy: -2.956 eV per atom
- M_tot: 0.0002 μB per atom

***

[3]
DFT (PBE) results for a relaxed Ca2NpReN6 crystal.

Structure (CIF):
```
data_Ca2NpReN6
_symmetry_space_group_name_H-M 'P 1'
_symmetry_Int_Tables_number 1
_cell_length_a 5.711
_cell_length_b 5.730
_cell_length_c 5.767
_cell_angle_alpha 59.03
_cell_angle_beta 60.38
_cell_angle_gamma 61.09
loop_
_symmetry_equiv_pos_as_xyz
'x,y,z'
loop_
_atom_site_label
_atom_site_type_symbol
_atom_site_fract_x
_atom_site_fract_y
_atom_site_fract_z
Re1 Re 0.295 0.333 0.093
Ca1 Ca 0.546 0.577 0.335
Ca2 Ca 0.076 0.054 0.826
N1 N 0.007 0.584 0.266
N2 N 0.655 0.022 0.820
N3 N 0.516 0.597 0.780
Np1 Np 0.821 0.812 0.567
N4 N 0.111 0.498 0.758
N5 N 0.118 0.038 0.250
N6 N 0.517 0.146 0.320
```

- Raw total energy: -8.548 eV per atom
- M_tot: 0.0000 μB per atom